Entry 1:
# TiNbW2 | Alexandria via LeMat-Bulk | PBE | relaxed
data_TiNbW2
_chemical_formula_sum 'Ti2 Nb2 W4'
_symmetry_space_group_name_H-M 'I m m m'
_symmetry_Int_Tables_number 71
_symmetry_space_group_name_Hall '-I 2 2'
_cell_length_a 2.852
_cell_length_b 4.720
_cell_length_c 10.613
_cell_angle_alpha 90.00
_cell_angle_beta 90.00
_cell_angle_gamma 90.00
loop_
_atom_site_label
_atom_site_type_symbol
_atom_site_fract_x
_atom_site_fract_y
_atom_site_fract_z
Ti1 Ti 0.000 0.000 0.000
Nb1 Nb 0.000 0.000 0.500
W1 W 0.000 0.000 0.247
# - E (eV per atom) = -10.240
# - ΔE_f (eV per formula unit) = 2.9



Entry 2:
# MgSiTc2 | Alexandria via LeMat-Bulk | PBE | relaxed
data_MgSiTc2
_chemical_formula_sum 'Mg3 Si3 Tc6'
_symmetry_space_group_name_H-M 'R -3 m'
_symmetry_Int_Tables_number 166
_symmetry_space_group_name_Hall '-R 3 2"'
_cell_length_a 2.8735
_cell_length_b 2.8735
_cell_length_c 25.2144
_cell_angle_alpha 90.00
_cell_angle_beta 90.00
_cell_angle_gamma 120.00
loop_
_atom_site_label
_atom_site_type_symbol
_atom_site_fract_x
_atom_site_fract_y
_atom_site_fract_z
Mg1 Mg 0.0000 0.0000 0.0000
Si1 Si 0.0000 0.0000 0.5000
Tc1 Tc 0.0000 0.0000 0.2414
# - formation energy without anion corrections (meV per atom) = 0
# - E (eV per atom) = -6.937
# - E above lowest polymorph (eV/atom) = 0.117



Entry 3:
# NaSmHo | Alexandria via LeMat-Bulk | PBE | relaxed
data_NaSmHo
_chemical_formula_sum 'Na1 Sm1 Ho1'
_symmetry_space_group_name_H-M 'P 3 m 1'
_symmetry_Int_Tables_number 156
_symmetry_space_group_name_Hall 'P 3 -2"'
_cell_length_a 3.5585
_cell_length_b 3.5585
_cell_length_c 9.1873
_cell_angle_alpha 90.00
_cell_angle_beta 90.00
_cell_angle_gamma 120.00
loop_
_atom_site_label
_atom_site_type_symbol
_atom_site_fract_x
_atom_site_fract_y
_atom_site_fract_z
Na1 Na 0.0000 0.0000 0.0000
Sm1 Sm 0.3333 0.6667 0.6475
Ho1 Ho 0.6667 0.3333 0.3463
# - E (eV per atom) = -3.408
# - E above lowest polymorph (eV/atom) = 0.012
# - ΔE_f (eV per formula unit) = 0.4



Entry 4:
# GeSI3 | Alexandria via LeMat-Bulk | PBE | relaxed
data_GeSI3
_chemical_formula_sum 'Ge1 S1 I3'
_symmetry_space_group_name_H-M 'P m -3 m'
_symmetry_Int_Tables_number 221
_symmetry_space_group_name_Hall '-P 4 2 3'
_cell_length_a 5.544
_cell_length_b 5.544
_cell_length_c 5.544
_cell_angle_alpha 90.00
_cell_angle_beta 90.00
_cell_angle_gamma 90.00
loop_
_atom_site_label
_atom_site_type_symbol
_atom_site_fract_x
_atom_site_fract_y
_atom_site_fract_z
Ge1 Ge 0.000 0.000 0.000
S1 S 0.500 0.500 0.500
I1 I 0.000 0.500 0.500
# - formation energy without anion corrections (meV per atom) = 531
# - E (eV per atom) = -2.148
# - E above lowest polymorph (eV/atom) = 0.036



Entry 5:
# Pu4FeGe2 | Alexandria via LeMat-Bulk | PBE | relaxed
data_Pu4FeGe2
_chemical_formula_sum 'Pu8 Fe2 Ge4'
_symmetry_space_group_name_H-M 'C m m m'
_symmetry_Int_Tables_number 65
_symmetry_space_group_name_Hall '-C 2 2'
_cell_length_a 7.959
_cell_length_b 8.529
_cell_length_c 4.201
_cell_angle_alpha 90.00
_cell_angle_beta 90.00
_cell_angle_gamma 90.00
loop_
_atom_site_label
_atom_site_type_symbol
_atom_site_fract_x
_atom_site_fract_y
_atom_site_fract_z
Pu1 Pu 0.171 0.000 0.000
Pu2 Pu 0.250 0.250 0.500
Fe1 Fe 0.000 0.500 0.500
Ge1 Ge 0.000 0.326 0.000
# - E (eV per atom) = -10.842
# - ΔE_f (eV per formula unit) = -0.9



Entry 6:
# Er6Sc2Cd | Alexandria via LeMat-Bulk | PBE | relaxed
data_Er6Sc2Cd
_chemical_formula_sum 'Er12 Sc4 Cd2'
_symmetry_space_group_name_H-M 'P 42/m n m'
_symmetry_Int_Tables_number 136
_symmetry_space_group_name_Hall '-P 4n 2n'
_cell_length_a 10.200
_cell_length_b 10.200
_cell_length_c 4.853
_cell_angle_alpha 90.00
_cell_angle_beta 90.00
_cell_angle_gamma 90.00
loop_
_atom_site_label
_atom_site_type_symbol
_atom_site_fract_x
_atom_site_fract_y
_atom_site_fract_z
Er1 Er 0.003 0.330 0.000
Er2 Er 0.158 0.842 0.500
Sc1 Sc 0.171 0.171 0.500
Cd1 Cd 0.000 0.000 0.000
# - E (eV per atom) = -4.551
# - ΔE_f (eV per formula unit) = 0.0



Entry 7:
# Re2Pt | Alexandria via LeMat-Bulk | PBE | relaxed
data_Re2Pt
_chemical_formula_sum 'Re8 Pt4'
_symmetry_space_group_name_H-M 'C m c m'
_symmetry_Int_Tables_number 63
_symmetry_space_group_name_Hall '-C 2c 2'
_cell_length_a 3.984
_cell_length_b 11.498
_cell_length_c 3.983
_cell_angle_alpha 90.00
_cell_angle_beta 90.00
_cell_angle_gamma 90.00
loop_
_atom_site_label
_atom_site_type_symbol
_atom_site_fract_x
_atom_site_fract_y
_atom_site_fract_z
Re1 Re 0.000 0.094 0.250
Re2 Re 0.000 0.253 0.750
Pt1 Pt 0.000 0.417 0.250
# - E (eV per atom) = -10.396
# - E above lowest polymorph (eV/atom) = 0.004
# - ΔE_f (eV per formula unit) = -0.3



Entry 8:
# As2Au | Alexandria via LeMat-Bulk | PBE | relaxed
data_As2Au
_chemical_formula_sum 'As8 Au4'
_symmetry_space_group_name_H-M 'F m -3 m'
_symmetry_Int_Tables_number 225
_symmetry_space_group_name_Hall '-F 4 2 3'
_cell_length_a 6.378
_cell_length_b 6.378
_cell_length_c 6.378
_cell_angle_alpha 90.00
_cell_angle_beta 90.00
_cell_angle_gamma 90.00
loop_
_atom_site_label
_atom_site_type_symbol
_atom_site_fract_x
_atom_site_fract_y
_atom_site_fract_z
As1 As 0.250 0.250 0.250
Au1 Au 0.000 0.000 0.000
# - E (eV per atom) = -4.011
# - ΔE_f (eV per formula unit) = 0.5



Entry 9:
# CaEuGaBi | Alexandria via LeMat-Bulk | PBE | relaxed
data_CaEuGaBi
_chemical_formula_sum 'Ca4 Eu4 Ga4 Bi4'
_symmetry_space_group_name_H-M 'F -4 3 m'
_symmetry_Int_Tables_number 216
_symmetry_space_group_name_Hall 'F -4 2 3'
_cell_length_a 7.781
_cell_length_b 7.781
_cell_length_c 7.781
_cell_angle_alpha 90.00
_cell_angle_beta 90.00
_cell_angle_gamma 90.00
loop_
_atom_site_label
_atom_site_type_symbol
_atom_site_fract_x
_atom_site_fract_y
_atom_site_fract_z
Ca1 Ca 0.000 0.000 0.000
Eu1 Eu 0.000 0.000 0.500
Ga1 Ga 0.250 0.250 0.750
Bi1 Bi 0.250 0.250 0.250
# - E (eV per atom) = -5.348
# - ΔE_f (eV per formula unit) = -2.2